[1]
Entry from Alexandria: a relaxed structure of NpPaTe4 (PBE-GGA).

## Properties
The formation energy without anion corrections is -0.74 eV per atom. The space-group type is C2/m. The density of states at the Fermi level is 16.74 states/eV/cell. The value obtained for the total moment is 7.747 μB/cell. The calculation puts the excess energy over the best structure of this formula in the dataset at 0.0000 eV per atom.

Unit cell a=10.9041 b=3.9885 c=7.9889 alpha=90.00 beta=111.56 gamma=90.00
Closest atoms and distances in Å follow each position.
Sites, in units of the cell vectors:
Np 0.0000 0.0000 0.0000  10 Te 3.24-3.50
Np 0.5000 0.5000 0.0000  10 Te 3.24-3.50
Pa 0.0000 0.0000 0.5000  10 Te 3.22-3.48
Pa 0.5000 0.5000 0.5000  10 Te 3.22-3.48
Te 0.1545 0.5000 0.8255  5 Te 3.16-3.44, 2 Pa 3.22, 3 Np 3.24-3.50
Te 0.1571 0.5000 0.3299  5 Te 3.16-3.41, 3 Pa 3.24-3.48, 2 Np 3.25
Te 0.3429 0.0000 0.6701  5 Te 3.16-3.41, 3 Pa 3.24-3.48, 2 Np 3.25
Te 0.3455 0.0000 0.1745  5 Te 3.16-3.44, 2 Pa 3.22, 3 Np 3.24-3.50
Te 0.6545 0.0000 0.8255  5 Te 3.16-3.44, 2 Pa 3.22, 3 Np 3.24-3.50
Te 0.6571 0.0000 0.3299  5 Te 3.16-3.41, 3 Pa 3.24-3.48, 2 Np 3.25
Te 0.8429 0.5000 0.6701  5 Te 3.16-3.41, 3 Pa 3.24-3.48, 2 Np 3.25
Te 0.8455 0.5000 0.1745  5 Te 3.16-3.44, 2 Pa 3.22, 3 Np 3.24-3.50

---

[2]
Entry from Alexandria: a relaxed structure of BeZn2Pt (PBE-GGA).

## Properties
The space-group type is I4/mmm. The density of states at the Fermi level is 1.45 states/eV/cell. The value obtained for the formation energy is -0.348 eV per atom. The value obtained for the total moment is 0.000 μB/cell.

Unit cell a=3.6096 b=3.6096 c=7.9922 alpha=90.00 beta=90.00 gamma=90.00
Closest atoms and distances in Å follow each position.
Sites, in units of the cell vectors:
Be 0.0000 0.0000 0.0000  4 Pt 2.55, 8 Zn 2.69
Be 0.5000 0.5000 0.5000  4 Pt 2.55, 8 Zn 2.69
Zn 0.0000 0.5000 0.2500  4 Zn 2.55, 4 Pt 2.69, 4 Be 2.69
Zn 0.0000 0.5000 0.7500  4 Zn 2.55, 4 Pt 2.69, 4 Be 2.69
Zn 0.5000 0.0000 0.2500  4 Zn 2.55, 4 Pt 2.69, 4 Be 2.69
Zn 0.5000 0.0000 0.7500  4 Zn 2.55, 4 Pt 2.69, 4 Be 2.69
Pt 0.0000 0.0000 0.5000  4 Be 2.55, 8 Zn 2.69
Pt 0.5000 0.5000 0.0000  4 Be 2.55, 8 Zn 2.69

---

[3]
Entry from Alexandria: a relaxed structure of Ac5La7 (PBE-GGA).

## Properties
The space-group type is C2/m. The density of states at the Fermi level is 19.53 states/eV/cell. The value obtained for the formation energy is 0.012 eV per atom. The value obtained for the total moment is 0.000 μB/cell.

Unit cell a=10.2168 b=10.2168 c=14.1281 alpha=117.79 beta=117.79 gamma=21.87
Closest atoms and distances in Å follow each position.
Sites, in units of the cell vectors:
Ac 0.0000 0.0000 0.0000  10 La 3.80-3.86, 2 Ac 3.88
Ac 0.1638 0.1638 0.4948  6 La 3.75-3.91, 6 Ac 3.88-3.91
Ac 0.3055 0.3055 0.2472  8 La 3.77-3.87, 4 Ac 3.88-3.91
Ac 0.6945 0.6945 0.7528  8 La 3.77-3.87, 4 Ac 3.88-3.91
Ac 0.8362 0.8362 0.5052  6 La 3.75-3.91, 6 Ac 3.88-3.91
La 0.0272 0.0272 0.7498  4 Ac 3.75-3.86, 8 La 3.81-3.88
La 0.3345 0.3345 0.0022  5 Ac 3.77-3.86, 7 La 3.81-3.88
La 0.3617 0.3617 0.7531  7 Ac 3.80-3.91, 5 La 3.81-3.88
La 0.5000 0.5000 0.5000  6 La 3.83-3.88, 6 Ac 3.84-3.85
La 0.6383 0.6383 0.2469  7 Ac 3.80-3.91, 5 La 3.81-3.88
La 0.6655 0.6655 0.9978  5 Ac 3.77-3.86, 7 La 3.81-3.88
La 0.9728 0.9728 0.2502  4 Ac 3.75-3.86, 8 La 3.81-3.88

---

[4]
Entry from Alexandria: a relaxed structure of V2AsRu2 (PBE-GGA).

## Properties
The space-group type is P4/mbm. The density of states at the Fermi level is 6.86 states/eV/cell. The value obtained for the formation energy is -0.028 eV per atom. The value obtained for the total moment is 0.000 μB/cell. The calculation puts the excess energy over the best structure of this formula in the dataset at 0.0000 eV per atom.

Unit cell a=7.2091 b=7.2091 c=2.8588 alpha=90.00 beta=90.00 gamma=90.00
Closest atoms and distances in Å follow each position.
Sites, in units of the cell vectors:
V 0.1541 0.3459 0.0000  6 Ru 2.55-2.56
V 0.3459 0.8459 0.0000  6 Ru 2.55-2.56
V 0.6541 0.1541 0.0000  6 Ru 2.55-2.56
V 0.8459 0.6541 0.0000  6 Ru 2.55-2.56
As 0.0000 0.0000 0.5000  4 Ru 2.79, 2 As 2.86, 8 V 3.08
As 0.5000 0.5000 0.5000  4 Ru 2.79, 2 As 2.86, 8 V 3.08
Ru 0.1380 0.6380 0.5000  6 V 2.55-2.56, 2 As 2.79, 1 Ru 2.81
Ru 0.3620 0.1380 0.5000  6 V 2.55-2.56, 2 As 2.79, 1 Ru 2.81
Ru 0.6380 0.8620 0.5000  6 V 2.55-2.56, 2 As 2.79, 1 Ru 2.81
Ru 0.8620 0.3620 0.5000  6 V 2.55-2.56, 2 As 2.79, 1 Ru 2.81

---

[5]
Entry from Alexandria: a relaxed structure of Rb2NbNiSe4 (PBE-GGA).

## Properties
The formation energy without anion corrections is -0.92 eV per atom. The space-group type is Fddd. The density of states at the Fermi level is 11.38 states/eV/cell. The value obtained for the total moment is 2.016 μB/cell.

Unit cell a=14.3073 b=12.7049 c=7.7366 alpha=85.16 beta=62.23 gamma=32.60
Closest atoms and distances in Å follow each position.
Sites, in units of the cell vectors:
Rb 0.0532 0.0532 0.6968  8 Se 3.61-3.81
Rb 0.3032 0.3032 0.9468  8 Se 3.61-3.81
Rb 0.6968 0.6968 0.0532  8 Se 3.61-3.81
Rb 0.9468 0.9468 0.3032  8 Se 3.61-3.81
Nb 0.3750 0.3750 0.3750  4 Se 2.44
Nb 0.6250 0.6250 0.6250  4 Se 2.44
Ni 0.1250 0.1250 0.1250  4 Se 2.40
Ni 0.8750 0.8750 0.8750  4 Se 2.40
Se 0.0342 0.3245 0.4113  1 Ni 2.40, 1 Nb 2.44
Se 0.2700 0.5887 0.6755  1 Ni 2.40, 1 Nb 2.44
Se 0.3245 0.0342 0.7300  1 Ni 2.40, 1 Nb 2.44
Se 0.4113 0.7300 0.0342  1 Ni 2.40, 1 Nb 2.44
Se 0.5887 0.2700 0.9658  1 Ni 2.40, 1 Nb 2.44
Se 0.6755 0.9658 0.2700  1 Ni 2.40, 1 Nb 2.44
Se 0.7300 0.4113 0.3245  1 Ni 2.40, 1 Nb 2.44
Se 0.9658 0.6755 0.5887  1 Ni 2.40, 1 Nb 2.44

---

[6]
Entry from Alexandria: a relaxed structure of TlCuMo2As (PBE-GGA).

## Properties
The space-group type is P4/mmm. The density of states at the Fermi level is 2.19 states/eV/cell. The value obtained for the formation energy is 2.000 eV per atom. The value obtained for the total moment is 5.372 μB/cell.

Unit cell a=5.2168 b=5.2168 c=4.6783 alpha=90.00 beta=90.00 gamma=90.00
Closest atoms and distances in Å follow each position.
Sites, in units of the cell vectors:
Tl 0.0000 0.0000 0.0000  2 Cu 2.34, 4 Mo 2.61
Cu 0.0000 0.0000 0.5000  2 Tl 2.34
Mo 0.0000 0.5000 0.0000  2 Tl 2.61
Mo 0.5000 0.0000 0.0000  2 Tl 2.61
As 0.5000 0.5000 0.5000  8 Mo 3.50, 4 Cu 3.69

---

[7]
Entry from Alexandria: a relaxed structure of LiTm2Os (PBE-GGA).

## Properties
The space-group type is Fm-3m. The density of states at the Fermi level is 11.47 states/eV/cell. The value obtained for the formation energy is -0.292 eV per atom. The value obtained for the total moment is 0.000 μB/cell. The calculation puts the excess energy over the best structure of this formula in the dataset at 0.0000 eV per atom.

Unit cell a=6.8323 b=6.8323 c=6.8323 alpha=90.00 beta=90.00 gamma=90.00
Closest atoms and distances in Å follow each position.
Sites, in units of the cell vectors:
Li 0.0000 0.0000 0.0000  8 Tm 2.96
Li 0.0000 0.5000 0.5000  8 Tm 2.96
Li 0.5000 0.0000 0.5000  8 Tm 2.96
Li 0.5000 0.5000 0.0000  8 Tm 2.96
Tm 0.2500 0.2500 0.2500  4 Li 2.96, 4 Os 2.96
Tm 0.2500 0.2500 0.7500  4 Li 2.96, 4 Os 2.96
Tm 0.2500 0.7500 0.2500  4 Li 2.96, 4 Os 2.96
Tm 0.2500 0.7500 0.7500  4 Li 2.96, 4 Os 2.96
Tm 0.7500 0.2500 0.2500  4 Li 2.96, 4 Os 2.96
Tm 0.7500 0.2500 0.7500  4 Li 2.96, 4 Os 2.96
Tm 0.7500 0.7500 0.2500  4 Li 2.96, 4 Os 2.96
Tm 0.7500 0.7500 0.7500  4 Li 2.96, 4 Os 2.96
Os 0.0000 0.0000 0.5000  8 Tm 2.96
Os 0.0000 0.5000 0.0000  8 Tm 2.96
Os 0.5000 0.0000 0.0000  8 Tm 2.96
Os 0.5000 0.5000 0.5000  8 Tm 2.96

---

[8]
Entry from Alexandria: a relaxed structure of Ta2MnCr (PBE-GGA).

## Properties
The space-group type is I-42d. The density of states at the Fermi level is 17.93 states/eV/cell. The value obtained for the formation energy is 0.677 eV per atom. The value obtained for the total moment is 7.251 μB/cell.

Unit cell a=6.8245 b=6.8245 c=5.4660 alpha=90.00 beta=90.00 gamma=90.00
Closest atoms and distances in Å follow each position.
Sites, in units of the cell vectors:
Ta 0.2436 0.2500 0.1250  2 Mn 2.48, 2 Cr 2.54, 2 Ta 2.73
Ta 0.2500 0.7436 0.3750  2 Mn 2.48, 2 Cr 2.54, 2 Ta 2.73
Ta 0.2500 0.7564 0.8750  2 Mn 2.48, 2 Cr 2.54, 2 Ta 2.73
Ta 0.2564 0.2500 0.6250  2 Mn 2.48, 2 Cr 2.54, 2 Ta 2.73
Ta 0.7436 0.7500 0.6250  2 Mn 2.48, 2 Cr 2.54, 2 Ta 2.73
Ta 0.7500 0.2436 0.8750  2 Mn 2.48, 2 Cr 2.54, 2 Ta 2.73
Ta 0.7500 0.2564 0.3750  2 Mn 2.48, 2 Cr 2.54, 2 Ta 2.73
Ta 0.7564 0.7500 0.1250  2 Mn 2.48, 2 Cr 2.54, 2 Ta 2.73
Mn 0.0000 0.0000 0.0000  4 Ta 2.48, 2 Cr 2.73
Mn 0.0000 0.5000 0.2500  4 Ta 2.48, 2 Cr 2.73
Mn 0.5000 0.0000 0.7500  4 Ta 2.48, 2 Cr 2.73
Mn 0.5000 0.5000 0.5000  4 Ta 2.48, 2 Cr 2.73
Cr 0.0000 0.0000 0.5000  4 Ta 2.54, 2 Mn 2.73
Cr 0.0000 0.5000 0.7500  4 Ta 2.54, 2 Mn 2.73
Cr 0.5000 0.0000 0.2500  4 Ta 2.54, 2 Mn 2.73
Cr 0.5000 0.5000 0.0000  4 Ta 2.54, 2 Mn 2.73

---

[9]
Entry from Alexandria: a relaxed structure of CrCuNi (PBE-GGA).

## Properties
The space-group type is I4mm. The density of states at the Fermi level is 7.28 states/eV/cell. The value obtained for the formation energy is 0.203 eV per atom. The value obtained for the total moment is 4.671 μB/cell. The calculation puts the excess energy over the best structure of this formula in the dataset at 0.0833 eV per atom.

Unit cell a=3.0009 b=3.0009 c=7.9791 alpha=90.00 beta=90.00 gamma=90.00
Closest atoms and distances in Å follow each position.
Sites, in units of the cell vectors:
Cr 0.0000 0.0000 0.0000  4 Ni 2.45, 5 Cu 2.54-2.59
Cr 0.5000 0.5000 0.5000  4 Ni 2.45, 5 Cu 2.54-2.59
Cu 0.0000 0.0000 0.6757  5 Ni 2.52-2.63, 5 Cr 2.54-2.59
Cu 0.5000 0.5000 0.1757  5 Ni 2.52-2.63, 5 Cr 2.54-2.59
Ni 0.0000 0.0000 0.3459  4 Cr 2.45, 5 Cu 2.52-2.63
Ni 0.5000 0.5000 0.8459  4 Cr 2.45, 5 Cu 2.52-2.63

---

[10]
Entry from Alexandria: a relaxed structure of Pm3Tl3GeS8 (PBE-GGA).

## Properties
The formation energy without anion corrections is -1.14 eV per atom. The space-group type is R-3m. The density of states at the Fermi level is 1.47 states/eV/cell. The value obtained for the total moment is 0.000 μB/cell.

Unit cell a=8.9097 b=8.9097 c=8.9097 alpha=53.86 beta=53.86 gamma=53.86
Closest atoms and distances in Å follow each position.
Sites, in units of the cell vectors:
Pm 0.0000 0.5000 0.5000  6 S 2.80-2.85
Pm 0.5000 0.0000 0.5000  6 S 2.80-2.85
Pm 0.5000 0.5000 0.0000  6 S 2.80-2.85
Tl 0.0000 0.0000 0.5000  6 S 3.24-3.25
Tl 0.0000 0.5000 0.0000  6 S 3.24-3.25
Tl 0.5000 0.0000 0.0000  6 S 3.24-3.25
Ge 0.0000 0.0000 0.0000  6 S 2.51
S 0.2103 0.2103 0.7660  1 Ge 2.51
S 0.2103 0.7660 0.2103  1 Ge 2.51
S 0.2340 0.7897 0.7897  1 Ge 2.51
S 0.2654 0.2654 0.2654  3 Pm 2.80
S 0.7346 0.7346 0.7346  3 Pm 2.80
S 0.7660 0.2103 0.2103  1 Ge 2.51
S 0.7897 0.2340 0.7897  1 Ge 2.51
S 0.7897 0.7897 0.2340  1 Ge 2.51

---

[11]
Entry from Alexandria: a relaxed structure of Ca2O2F3 (PBE-GGA).

## Properties
The formation energy without anion corrections is -2.84 eV per atom. The space-group type is P-1. The value obtained for the total moment is 1.002 μB/cell.

Unit cell a=4.3532 b=6.4266 c=7.0912 alpha=102.17 beta=106.09 gamma=107.92
Closest atoms and distances in Å follow each position.
Sites, in units of the cell vectors:
Ca 0.2448 0.1313 0.3551  4 F 2.15-2.32, 2 O 2.39-2.40
Ca 0.7552 0.8687 0.6449  4 F 2.15-2.32, 2 O 2.39-2.40
O 0.0293 0.1107 0.0004  1 O 1.36
O 0.9707 0.8893 0.9996  1 O 1.36
F 0.2702 0.9446 0.6020  3 Ca 2.26-2.32
F 0.5000 0.5000 0.5000  2 Ca 2.15
F 0.7298 0.0554 0.3980  3 Ca 2.26-2.32

---

[12]
Entry from Alexandria: a relaxed structure of Pr8Al2Ga (PBE-GGA).

## Properties
The space-group type is C2/m. The density of states at the Fermi level is 11.59 states/eV/cell. The value obtained for the formation energy is -0.203 eV per atom. The value obtained for the total moment is 0.000 μB/cell. The calculation puts the excess energy over the best structure of this formula in the dataset at 0.0000 eV per atom.

Unit cell a=9.6307 b=9.6307 c=7.4591 alpha=109.68 beta=109.68 gamma=31.40
Closest atoms and distances in Å follow each position.
Sites, in units of the cell vectors:
Pr 0.0125 0.0125 0.2664  2 Ga 3.19, 1 Al 3.28, 2 Pr 3.34
Pr 0.2028 0.2028 0.7953  3 Al 3.21-3.40, 3 Pr 3.56-3.57
Pr 0.3398 0.3398 0.5514  1 Ga 3.13, 3 Al 3.21-3.28, 1 Pr 3.45
Pr 0.4059 0.4059 0.0449  1 Ga 3.23, 2 Al 3.25, 4 Pr 3.34-3.57
Pr 0.5941 0.5941 0.9551  1 Ga 3.23, 2 Al 3.25, 4 Pr 3.34-3.57
Pr 0.6602 0.6602 0.4486  1 Ga 3.13, 3 Al 3.21-3.28, 1 Pr 3.45
Pr 0.7972 0.7972 0.2047  3 Al 3.21-3.40, 3 Pr 3.56-3.57
Pr 0.9875 0.9875 0.7336  2 Ga 3.19, 1 Al 3.28, 2 Pr 3.34
Al 0.1785 0.1785 0.2008  9 Pr 3.21-3.40
Al 0.8215 0.8215 0.7992  9 Pr 3.21-3.40
Ga 0.5000 0.5000 0.5000  8 Pr 3.13-3.23